(1)
First-principles (PBE) data for an optimized crystal structure of PaTeAu, as listed in OQMD.

Lattice parameters (Å, degrees): 7.121 7.121 7.121 90.00 90.00 90.00
Space group F-43m (No. 216)
Symmetry-distinct sites (fractional):
1 Pa 0.000 0.000 0.000
2 Te 0.250 0.250 0.250
3 Au 0.250 0.250 0.750

Output
The value obtained for the energy above the lowest structure with this stoichiometry is 0 meV per atom. The total magnetic moment comes out at 1.9 μB/f.u. The volume is 361.1 Å³ per cell.



(2)
First-principles (PBE) data for an optimized crystal structure of NdErPO, as listed in OQMD.

Lattice parameters (Å, degrees): 4.327 7.307 5.976 90.00 90.00 90.00
Space group Pmc2_1 (No. 26)
Symmetry-distinct sites (fractional):
1 Nd 0.000 0.199 0.000
2 Er 0.500 0.382 0.575
3 P 0.000 0.185 0.493
4 O 0.500 0.340 0.936

Output
The value obtained for the energy above the lowest structure with this stoichiometry is 0 meV per atom. The total magnetic moment comes out at 0.0 μB/f.u. The volume is 189.0 Å³ per cell.



(3)
First-principles (PBE) data for an optimized crystal structure of CsDyAg, as listed in OQMD.

Lattice parameters (Å, degrees): 7.488 7.488 7.488 90.00 90.00 90.00
Space group F-43m (No. 216)
Symmetry-distinct sites (fractional):
1 Cs 0.000 0.000 0.000
2 Dy 0.250 0.250 0.250
3 Ag 0.250 0.250 0.750

Output
The total magnetic moment comes out at 0.1 μB/f.u. The total energy comes out at -19.5 eV for the cell shown. The volume is 419.8 Å³ per cell.